1.
Compound: PuTl2InO8
Source: Alexandria
Functional: PBE
Structure: relaxed

a b c (Å): 5.164 5.147 6.735
angles (deg): 90.00 90.00 93.51
Site moments in Bohr magnetons follow the coordinates.
Fractional coordinates of all 12 atoms:
Pu (0.000, 0.000, 0.000)  1.45
Tl (0.500, 0.500, 0.254)  0.00
Tl (0.500, 0.500, 0.746)  0.00
O (0.174, 0.821, 0.221)  -0.07
O (0.174, 0.821, 0.779)  -0.07
O (0.826, 0.179, 0.221)  -0.07
O (0.298, 0.293, 0.500)  -0.02
O (0.701, 0.706, 0.000)  -0.06
O (0.299, 0.294, 0.000)  -0.06
O (0.702, 0.707, 0.500)  -0.02
O (0.826, 0.179, 0.779)  -0.07
In (0.000, 0.000, 0.500)  0.00

Results
The calculation puts the density of states at the Fermi level at 0.41 states/eV/f.u. The space-group type is P2/m (10). The calculation puts the formation energy from raw total energies at -1.3771 eV per atom. The calculation puts the calculated volume at 14.89 Å³ per atom.

2.
Compound: Li2Zn2GaAg5
Source: Alexandria
Functional: PBE
Structure: relaxed

a b c (Å): 4.049 9.380 9.380
angles (deg): 90.00 90.00 90.00
Fractional coordinates of all 20 atoms:
Ga (0.000, 0.000, 0.000)
Ga (0.000, 0.500, 0.500)
Li (0.000, 0.671, 0.171)
Li (0.000, 0.829, 0.671)
Li (0.000, 0.171, 0.329)
Li (0.000, 0.329, 0.829)
Ag (0.500, 0.305, 0.585)
Ag (0.500, 0.195, 0.085)
Ag (0.500, 0.415, 0.305)
Ag (0.500, 0.585, 0.695)
Ag (0.500, 0.695, 0.415)
Ag (0.500, 0.915, 0.195)
Ag (0.500, 0.805, 0.915)
Ag (0.500, 0.000, 0.500)
Ag (0.500, 0.085, 0.805)
Ag (0.500, 0.500, 0.000)
Zn (0.000, 0.375, 0.125)
Zn (0.000, 0.875, 0.375)
Zn (0.000, 0.625, 0.875)
Zn (0.000, 0.125, 0.625)

Results
The calculation puts the density of states at the Fermi level at 3.29 states/eV/f.u. The space-group type is P4/mbm (127). The energy of formation from the pure elements comes out at -1.6 kcal/mol of atoms. The calculation puts the calculated volume at 17.81 Å³ per atom.

3.
Compound: ZrTa2Rh
Source: Alexandria
Functional: PBE
Structure: relaxed

a b c (Å): 3.314 4.545 4.777
angles (deg): 90.00 90.00 90.00
Fractional coordinates of all 4 atoms:
Ta (0.000, 0.000, 0.000)
Ta (0.500, 0.500, 0.000)
Rh (0.000, 0.500, 0.500)
Zr (0.500, 0.000, 0.500)

Results
The calculation puts the density of states at the Fermi level at 3.28 states/eV/f.u. The space-group type is Pmmm (47). The energy of formation from the pure elements comes out at -6.0 kcal/mol of atoms. The calculation puts the calculated volume at 17.98 Å³ per atom.

4.
Compound: HoZnCuNi
Source: Alexandria
Functional: PBE
Structure: relaxed

a b c (Å): 4.499 4.499 4.499
angles (deg): 60.00 60.00 60.00
Fractional coordinates of all 4 atoms:
Cu (0.250, 0.250, 0.250)
Zn (0.500, 0.500, 0.500)
Ho (0.000, 0.000, 0.000)
Ni (0.750, 0.750, 0.750)

Results
The calculation puts the density of states at the Fermi level at 3.08 states/eV/f.u. The space-group type is F-43m (216). The energy of formation from the pure elements comes out at -5.6 kcal/mol of atoms. The calculation puts the calculated volume at 16.10 Å³ per atom.

5.
Compound: Li2MgRe
Source: Alexandria
Functional: PBE
Structure: relaxed

a b c (Å): 10.017 10.017 10.017
angles (deg): 15.93 15.93 15.93
Site moments in Bohr magnetons follow the coordinates.
Fractional coordinates of all 4 atoms:
Li (0.006, 0.006, 0.006)  0.00
Li (0.494, 0.494, 0.494)  0.00
Re (0.750, 0.750, 0.750)  0.26
Mg (0.250, 0.250, 0.250)  0.00

Results
The calculation puts the density of states at the Fermi level at 3.30 states/eV/f.u. The space-group type is R-3m (166). The energy of formation from the pure elements comes out at 5.7 kcal/mol of atoms. The calculation puts the calculated volume at 16.50 Å³ per atom.